Record 1
VASP calculation (PBE) on an optimized crystal structure of K2BeAgGe.

The structure in POSCAR format:
```
K2BeAgGe
1.0
-3.132 3.433 -4.272
-3.352 0.556 2.904
2.761 5.239 2.185
Be Ag K Ge
1 1 2 1
direct
0.000 0.500 0.000
0.000 0.000 0.000
0.500 0.000 0.000
0.000 0.000 0.500
0.500 0.500 0.500
```

Values from the calculation:
For the volume, the calculation gives 178.1 Å³ per cell. The formation enthalpy at 0 K is 0.6535 eV per atom.

***

Record 2
VASP calculation (PBE) on an optimized crystal structure of GaBi2I.

The structure in POSCAR format:
```
GaBi2I
1.0
-2.946 1.759 -1.126
-2.260 -1.573 -2.336
-7.237 -3.996 6.902
Ga Bi I
1 2 1
direct
0.000 0.000 0.000
0.260 0.260 0.221
0.740 0.740 0.779
0.500 0.500 0.500
```

Values from the calculation:
For the volume, the calculation gives 119.3 Å³ per cell. The calculation puts the energy above the most stable polymorph in this dataset at 0.31 eV per formula unit. The formation energy without anion corrections comes out at 0.144 eV/atom.

***

Record 3
VASP calculation (PBE) on an optimized crystal structure of MnNiIr2.

The structure in POSCAR format:
```
MnNiIr2
1.0
4.267 0.000 0.000
2.134 3.695 0.000
2.134 1.232 3.484
Mn Ir Ni
1 2 1
direct
0.500 0.500 0.500
0.750 0.750 0.750
0.000 0.000 0.000
0.250 0.250 0.250
```

Values from the calculation:
For the volume, the calculation gives 54.9 Å³ per cell. The formation enthalpy at 0 K is 0.1747 eV per atom.

***

Record 4
VASP calculation (PBE) on an optimized crystal structure of LaTb2Pr2Ho.

The structure in POSCAR format:
```
LaTb2Pr2Ho
1.0
-1.369 -4.905 -2.699
4.895 -3.462 3.807
-6.831 -1.951 7.009
Pr Ho La Tb
4 2 2 4
direct
0.500 0.007 0.000
0.500 0.507 0.000
0.000 0.257 0.169
0.000 0.757 0.831
0.500 0.758 0.335
0.500 0.258 0.665
0.000 0.508 0.500
0.000 0.008 0.500
0.500 0.258 0.332
0.000 0.757 0.166
0.000 0.257 0.834
0.500 0.758 0.668
```

Values from the calculation:
For the volume, the calculation gives 408.5 Å³ per cell. The formation enthalpy at 0 K is 0.0620 eV per atom.

***

Record 5
VASP calculation (PBE) on an optimized crystal structure of K2Rb4BeSb2.

The structure in POSCAR format:
```
K2Rb4BeSb2
1.0
-5.828 -1.888 -2.055
1.261 -8.334 -1.679
-2.675 -5.021 6.442
K Rb Sb Be
2 4 2 1
direct
0.214 0.637 0.637
0.786 0.363 0.363
0.242 0.100 0.653
0.242 0.653 0.100
0.758 0.347 0.900
0.758 0.900 0.347
0.256 0.151 0.151
0.744 0.849 0.849
0.500 0.000 0.000
```

Values from the calculation:
For the volume, the calculation gives 427.7 Å³ per cell. The formation energy without anion corrections comes out at -0.157 eV/atom.

***

Record 6
VASP calculation (PBE) on an optimized crystal structure of YTm4Tl4.

The structure in POSCAR format:
```
YTm4Tl4
1.0
-2.377 -1.846 4.862
-3.644 -7.461 -4.615
7.834 -5.017 1.925
Tl Y Tm
8 2 8
direct
0.897 0.604 0.291
0.103 0.291 0.396
0.897 0.396 0.709
0.103 0.709 0.604
0.603 0.104 0.791
0.397 0.791 0.896
0.397 0.209 0.104
0.603 0.896 0.209
0.000 0.000 0.000
0.500 0.500 0.500
0.892 0.653 0.920
0.392 0.580 0.153
0.108 0.080 0.653
0.108 0.920 0.347
0.392 0.420 0.847
0.608 0.847 0.580
0.892 0.347 0.080
0.608 0.153 0.420
```

Values from the calculation:
For the volume, the calculation gives 516.1 Å³ per cell. The formation enthalpy at 0 K is -0.1399 eV per atom.

***

Record 7
VASP calculation (PBE) on an optimized crystal structure of Cr2InTeN.

The structure in POSCAR format:
```
Cr2InTeN
1.0
4.021 0.000 0.000
0.000 6.533 0.000
0.000 0.000 4.021
Cr N In Te
2 1 1 1
direct
0.500 0.000 0.000
0.000 0.000 0.500
0.000 0.000 0.000
0.500 0.500 0.500
0.000 0.500 0.000
```

Values from the calculation:
For the volume, the calculation gives 105.6 Å³ per cell. The formation energy without anion corrections comes out at 0.379 eV/atom.

***

Record 8
VASP calculation (PBE) on an optimized crystal structure of Mn2ZnSi.

The structure in POSCAR format:
```
Mn2ZnSi
1.0
4.102 0.000 0.000
2.051 3.553 0.000
2.051 1.184 3.349
Mn Zn Si
2 1 1
direct
0.000 0.000 0.000
0.250 0.250 0.250
0.750 0.750 0.750
0.500 0.500 0.500
```

Values from the calculation:
For the volume, the calculation gives 48.8 Å³ per cell. The formation energy without anion corrections comes out at 0.036 eV/atom.